--- w ---
A plane-wave DFT calculation with PBE+U was carried out for CrIrI2O after structural relaxation.

a = 5.4235 Å, b = 5.4235 Å, c = 3.5043 Å
α = 90.00°, β = 90.00°, γ = 90.00°
Sites, in units of the cell vectors:
Cr 0.0000 0.0000 0.0000
Ir 0.5000 0.5000 0.5000
I 0.0000 0.5000 0.0000
I 0.5000 0.0000 0.0000
O 0.0000 0.0000 0.5000

Fermi-level density of states   4.41 states/eV/f.u.
Total magnetic moment   0.2 μB per formula unit
ρ   8.28 Mg/m³


--- x ---
A plane-wave DFT calculation with PBE+U was carried out for CrIrI2O after structural relaxation.

a = 5.6930 Å, b = 5.6930 Å, c = 3.7538 Å
α = 90.00°, β = 90.00°, γ = 90.00°
Sites, in units of the cell vectors:
Cr 0.0000 0.0000 0.0000
Ir 0.5000 0.5000 0.5000
I 0.0000 0.5000 0.5000
I 0.5000 0.0000 0.5000
O 0.5000 0.5000 0.0000

Fermi-level density of states   3.55 states/eV/f.u.
Total magnetic moment   4.9 μB per formula unit
ρ   7.02 Mg/m³


Compare the structures above. Which one is the most stable? x is.